# BaNiI2O

Crystalline BaNiI2O at its relaxed geometry (PBE+U, the Alexandria database).

Cell lengths 5.968, 5.968, 3.851 Å; angles 90.00, 90.00, 90.00 degrees
Space group P4/mmm (No. 123)
Asymmetric unit:
Ba (0.000, 0.000, 0.000) (multiplicity 1)
Ni (0.500, 0.500, 0.500) (multiplicity 1)
I (0.000, 0.500, 0.500) (multiplicity 2)
O (0.500, 0.500, 0.000) (multiplicity 1)

Results
polymorph energy (0 for the lowest one)	0.000	eV per atom
calculated total energy	-3.329	eV per atom